Below is a relaxed TbInHgGe crystal, with properties calculated at the PBE-GGA level.

Results
volume: 96.15 Å³/f.u.
uncorrected energy: -53.02 eV/cell

Geometry as CIF:
```
data_TbInHgGe
_chemical_formula_sum 'Tb4 In4 Hg4 Ge4'
_cell_length_a 7.2722
_cell_length_b 7.2722
_cell_length_c 7.2722
_cell_angle_alpha 90.00
_cell_angle_beta 90.00
_cell_angle_gamma 90.00
_symmetry_space_group_name_H-M 'F -4 3 m'
_symmetry_Int_Tables_number 216
_symmetry_space_group_name_Hall 'F -4 2 3'
loop_
_atom_site_label
_atom_site_fract_x
_atom_site_fract_y
_atom_site_fract_z
Tb1 0.0000 0.0000 0.0000
In1 0.0000 0.0000 0.5000
Hg1 0.2500 0.2500 0.2500
Ge1 0.2500 0.2500 0.7500
```